Below is crystalline V2PO5 at its relaxed geometry, with properties calculated at the GGA+U level.

Cell: 5.479 5.479 7.369 Å, 111.67 111.67 90.03°
Positions (direct):
V 0.000 0.000 0.000
V 0.000 0.000 0.500
V 0.000 0.500 0.000
V 0.500 0.000 0.500
P 0.375 0.625 0.750
P 0.625 0.375 0.250
O 0.116 0.884 0.250
O 0.212 0.699 0.890
O 0.301 0.788 0.610
O 0.308 0.320 0.622
O 0.320 0.308 0.122
O 0.680 0.692 0.878
O 0.692 0.680 0.378
O 0.699 0.212 0.390
O 0.788 0.301 0.110
O 0.884 0.116 0.750

Properties
**Density**: 3.75 g/cm3
**VASP energy**: -7.78 eV/atom
**Total magnetization**: 10.00 Bohr magnetons per cell